No. 1
Density functional theory data (PBE+U) for a relaxed structure of CaCoGe4O12.

a = 7.4302 Å, b = 5.2292 Å, c = 5.2292 Å
α = 97.04°, β = 90.00°, γ = 90.00°
Element x y z (fractional)
Ca (0.0000, 0.0000, 0.0000)
Co (0.5000, 0.6384, 0.6384)
Ge (0.2550, 0.0980, 0.5434)
Ge (0.2550, 0.5434, 0.0980)
Ge (0.7450, 0.0980, 0.5434)
Ge (0.7450, 0.5434, 0.0980)
O (0.0000, 0.1138, 0.5285)
O (0.0000, 0.5285, 0.1138)
O (0.2419, 0.2404, 0.8820)
O (0.2416, 0.7528, 0.7528)
O (0.2419, 0.8820, 0.2404)
O (0.3154, 0.4080, 0.4080)
O (0.5000, 0.5753, 0.9922)
O (0.5000, 0.9922, 0.5753)
O (0.6846, 0.4080, 0.4080)
O (0.7581, 0.2404, 0.8820)
O (0.7584, 0.7528, 0.7528)
O (0.7581, 0.8820, 0.2404)

final energy	-5.99	eV per atom


No. 2
Density functional theory data (PBE+U) for a relaxed structure of CaCoGeO4.

a = 11.3848 Å, b = 6.4578 Å, c = 5.0626 Å
α = 90.00°, β = 90.00°, γ = 90.00°
Element x y z (fractional)
Ca (0.2262, 0.2500, 0.0111)
Ca (0.2738, 0.7500, 0.5111)
Ca (0.7262, 0.2500, 0.4889)
Ca (0.7738, 0.7500, 0.9889)
Co (0.0000, 0.0000, 0.5000)
Co (0.0000, 0.5000, 0.5000)
Co (0.5000, 0.0000, 0.0000)
Co (0.5000, 0.5000, 0.0000)
Ge (0.0800, 0.7500, 0.0776)
Ge (0.4200, 0.2500, 0.5776)
Ge (0.5800, 0.7500, 0.4224)
Ge (0.9200, 0.2500, 0.9224)
O (0.0580, 0.2500, 0.7470)
O (0.0803, 0.7500, 0.7283)
O (0.1487, 0.5322, 0.2312)
O (0.1487, 0.9678, 0.2312)
O (0.3513, 0.0322, 0.7312)
O (0.3513, 0.4678, 0.7312)
O (0.4197, 0.2500, 0.2283)
O (0.4420, 0.7500, 0.2470)
O (0.5580, 0.2500, 0.7530)
O (0.5803, 0.7500, 0.7717)
O (0.6487, 0.5322, 0.2688)
O (0.6487, 0.9678, 0.2688)
O (0.8513, 0.0322, 0.7688)
O (0.8513, 0.4678, 0.7688)
O (0.9197, 0.2500, 0.2717)
O (0.9420, 0.7500, 0.2530)

final energy	-6.49	eV per atom